Record 1
Material: Tb12Pm5Nd
Method: DFT, PBE
State: optimized geometry

* formation energy from the elements: 102 meV/atom
* calculated volume: 595.8 Å³/f.u.
* SG: C2/m (12)
* size of the total moment: 0.0 μB per formula unit

abc: 11.4060 10.4099 5.9980
angles: 90.00 90.00 56.78
Atoms (fractional coordinates):
Tb1 0.9885 0.6667 0.0542
Tb2 0.5111 0.3332 0.5541
Tb3 0.8226 0.0000 0.4485
Tb4 0.3237 0.0000 0.0515
Tb5 0.8443 0.6668 0.5541
Tb6 0.3448 0.6667 0.9458
Tb7 0.6763 0.0000 0.9485
Tb8 0.4889 0.6668 0.4459
Tb9 0.0115 0.3333 0.9458
Tb10 0.1557 0.3332 0.4459
Tb11 0.6553 0.3333 0.0542
Tb12 0.1774 0.0000 0.5515
Pm1 0.8328 0.3345 0.5000
Pm2 0.1672 0.6655 0.5000
Pm3 0.5000 0.0000 0.5000
Pm4 0.6675 0.6650 0.0000
Pm5 0.3325 0.3350 0.0000
Nd1 0.0000 0.0000 0.0000



Record 2
Material: TbPm5Nd2
Method: DFT, PBE
State: optimized geometry

* formation energy from the elements: 14 meV/atom
* calculated volume: 274.2 Å³/f.u.
* SG: Pbam (55)
* relative energy among the computed polymorphs: 0.00 eV/f.u.
* size of the total moment: 0.0 μB per formula unit

abc: 5.1468 7.2966 14.6034
angles: 90.00 90.00 90.00
Atoms (fractional coordinates):
Pm1 0.5000 0.2506 0.3756
Pm2 0.0000 0.5000 0.5000
Pm3 0.5000 0.2494 0.8756
Pm4 0.0000 0.0010 0.2508
Pm5 0.0000 0.0000 0.0000
Pm6 0.5000 0.7506 0.1244
Pm7 0.0000 0.4990 0.7508
Pm8 0.0000 0.9990 0.7492
Pm9 0.0000 0.5010 0.2492
Pm10 0.5000 0.7494 0.6244
Tb1 0.0000 0.5000 0.0000
Tb2 0.0000 0.0000 0.5000
Nd1 0.5000 0.7491 0.8755
Nd2 0.5000 0.2491 0.6245
Nd3 0.5000 0.7509 0.3755
Nd4 0.5000 0.2509 0.1245



Record 3
Material: TbPm3Nd5
Method: DFT, PBE
State: optimized geometry

* formation energy from the elements: 261 meV/atom
* calculated volume: 321.3 Å³/f.u.
* SG: C2/c (15)
* relative energy among the computed polymorphs: 0.00 eV/f.u.
* size of the total moment: 0.0 μB per formula unit

abc: 6.3028 11.1364 11.7599
angles: 124.06 90.00 106.44
Atoms (fractional coordinates):
Pm1 0.9504 0.3545 0.8274
Pm2 0.0000 0.0000 0.5000
Pm3 0.4041 0.3545 0.3274
Pm4 0.5959 0.6455 0.6726
Pm5 0.0000 0.0000 0.0000
Pm6 0.0496 0.6455 0.1726
Nd1 0.0154 0.6433 0.4774
Nd2 0.5423 0.7204 0.3733
Nd3 0.3720 0.3567 0.0226
Nd4 0.8219 0.2796 0.1267
Nd5 0.9846 0.3567 0.5226
Nd6 0.5767 0.0000 0.2500
Nd7 0.4233 0.0000 0.7500
Nd8 0.6280 0.6433 0.9774
Nd9 0.4577 0.2796 0.6267
Nd10 0.1781 0.7204 0.8733
Tb1 0.0901 0.0000 0.2500
Tb2 0.9099 0.0000 0.7500



Record 4
Material: Tb2Pm5Nd4
Method: DFT, PBE
State: optimized geometry

* formation energy from the elements: 97 meV/atom
* calculated volume: 384.1 Å³/f.u.
* SG: C2/m (12)
* relative energy among the computed polymorphs: 0.00 eV/f.u.
* size of the total moment: 0.0 μB per formula unit

abc: 3.5741 8.8239 12.3455
angles: 94.44 98.32 90.00
Atoms (fractional coordinates):
Pm1 0.5000 0.0000 0.0000
Pm2 0.8157 0.5253 0.6313
Pm3 0.8695 0.9528 0.7389
Pm4 0.1843 0.4747 0.3687
Pm5 0.1305 0.0472 0.2611
Nd1 0.2740 0.1742 0.5480
Nd2 0.7260 0.8258 0.4520
Nd3 0.0405 0.3458 0.0809
Nd4 0.9595 0.6542 0.9191
Tb1 0.4127 0.3027 0.8253
Tb2 0.5873 0.6973 0.1747



Record 5
Material: TbPmNd
Method: DFT, PBE
State: optimized geometry

* formation energy from the elements: 17 meV/atom
* calculated volume: 101.7 Å³/f.u.
* SG: I4mm (107)
* relative energy among the computed polymorphs: 0.22 eV/f.u.
* size of the total moment: 0.0 μB per formula unit

abc: 3.6336 3.6336 8.1216
angles: 102.93 102.93 90.00
Atoms (fractional coordinates):
Tb1 0.6663 0.6663 0.3325
Nd1 0.3321 0.3321 0.6642
Pm1 0.0016 0.0016 0.0032



Record 6
Material: Tb5Pm12Nd2
Method: DFT, PBE
State: optimized geometry

* formation energy from the elements: 97 meV/atom
* calculated volume: 645.5 Å³/f.u.
* SG: C2/m (12)
* relative energy among the computed polymorphs: 0.00 eV/f.u.
* size of the total moment: 0.0 μB per formula unit

abc: 11.7559 10.7629 6.2449
angles: 100.67 90.00 123.10
Atoms (fractional coordinates):
Pm1 0.8529 0.2072 0.6151
Pm2 0.5558 0.1117 0.2748
Pm3 0.0587 0.6022 0.7989
Pm4 0.1229 0.2459 0.9956
Pm5 0.1471 0.7928 0.3849
Pm6 0.6457 0.7928 0.3849
Pm7 0.3543 0.2072 0.6151
Pm8 0.4442 0.8883 0.7252
Pm9 0.8771 0.7541 0.0044
Pm10 0.5435 0.6022 0.7989
Pm11 0.4565 0.3978 0.2011
Pm12 0.9413 0.3978 0.2011
Nd1 0.7744 0.0000 0.0000
Nd2 0.2256 0.0000 0.0000
Tb1 0.7859 0.5719 0.4517
Tb2 0.0000 0.0000 0.5000
Tb3 0.3233 0.6465 0.1418
Tb4 0.6767 0.3535 0.8582
Tb5 0.2141 0.4281 0.5483



Record 7
Material: Tb8Pm2Nd
Method: DFT, PBE
State: optimized geometry

* formation energy from the elements: 153 meV/atom
* calculated volume: 366.4 Å³/f.u.
* SG: C2/m (12)
* relative energy among the computed polymorphs: 0.46 eV/f.u.
* size of the total moment: 0.0 μB per formula unit

abc: 5.9397 9.0772 9.2980
angles: 60.78 74.53 56.88
Atoms (fractional coordinates):
Tb1 0.8241 0.3328 0.7661
Tb2 0.2943 0.4278 0.0000
Tb3 0.7057 0.5722 0.0000
Tb4 0.5000 0.2074 0.5852
Tb5 0.8241 0.0990 0.2339
Tb6 0.1759 0.9010 0.7661
Tb7 0.1759 0.6672 0.2339
Tb8 0.5000 0.7926 0.4148
Pm1 0.0000 0.3068 0.3863
Pm2 0.0000 0.6932 0.6137
Nd1 0.5000 0.0000 0.0000



Record 8
Material: Tb3Pm5Nd2
Method: DFT, PBE
State: optimized geometry

* formation energy from the elements: 367 meV/atom
* calculated volume: 360.9 Å³/f.u.
* SG: Ibam (72)
* relative energy among the computed polymorphs: 1.83 eV/f.u.
* size of the total moment: 0.0 μB per formula unit

abc: 6.9031 12.4874 12.4874
angles: 44.64 73.95 73.95
Atoms (fractional coordinates):
Pm1 0.0017 0.2483 0.2483
Pm2 0.1267 0.4668 0.2798
Pm3 0.3733 0.7202 0.5332
Pm4 0.9983 0.7517 0.7517
Pm5 0.7500 0.5000 0.5000
Pm6 0.6267 0.2798 0.4668
Pm7 0.5017 0.2483 0.2483
Pm8 0.8733 0.5332 0.7202
Pm9 0.4983 0.7517 0.7517
Pm10 0.2500 0.5000 0.5000
Tb1 0.1214 0.1269 0.6303
Tb2 0.6214 0.6303 0.1269
Tb3 0.7500 0.0000 0.0000
Tb4 0.3786 0.3697 0.8731
Tb5 0.8786 0.8731 0.3697
Tb6 0.2500 0.0000 0.0000
Nd1 0.3777 0.0229 0.2216
Nd2 0.8777 0.2216 0.0229
Nd3 0.1223 0.7784 0.9771
Nd4 0.6223 0.9771 0.7784



Record 9
Material: Tb2Pm5Nd12
Method: DFT, PBE
State: optimized geometry

* formation energy from the elements: 164 meV/atom
* calculated volume: 667.7 Å³/f.u.
* SG: C2/m (12)
* relative energy among the computed polymorphs: 0.66 eV/f.u.
* size of the total moment: 0.0 μB per formula unit

abc: 7.2190 10.0548 10.5879
angles: 70.06 90.00 111.04
Atoms (fractional coordinates):
Nd1 0.5814 0.6662 0.5236
Nd2 0.4186 0.3338 0.4764
Nd3 0.0256 0.0512 0.7557
Nd4 0.0849 0.6662 0.5236
Nd5 0.4073 0.3200 0.1321
Nd6 0.4986 0.9971 0.3228
Nd7 0.5014 0.0029 0.6772
Nd8 0.0873 0.6800 0.8679
Nd9 0.9744 0.9488 0.2443
Nd10 0.9127 0.3200 0.1321
Nd11 0.9151 0.3338 0.4764
Nd12 0.5927 0.6800 0.8679
Tb1 0.2777 0.0000 0.0000
Tb2 0.7223 0.0000 0.0000
Pm1 0.1856 0.3711 0.8154
Pm2 0.3261 0.6522 0.2083
Pm3 0.6739 0.3478 0.7917
Pm4 0.8144 0.6289 0.1846
Pm5 0.0000 0.0000 0.5000



Record 10
Material: Tb4Pm3Nd5
Method: DFT, PBE
State: optimized geometry

* formation energy from the elements: 13 meV/atom
* calculated volume: 407.0 Å³/f.u.
* SG: P-1 (2)
* relative energy among the computed polymorphs: 0.00 eV/f.u.
* size of the total moment: 0.0 μB per formula unit

abc: 7.2599 11.4920 13.1080
angles: 151.29 56.34 129.22
Atoms (fractional coordinates):
Tb1 0.9173 0.8322 0.6670
Tb2 0.8358 0.6693 0.8338
Tb3 0.0827 0.1678 0.3330
Tb4 0.1642 0.3307 0.1662
Nd1 0.6649 0.3327 0.1676
Nd2 0.2514 0.4989 0.9992
Nd3 0.3351 0.6673 0.8324
Nd4 0.5000 0.0000 0.5000
Nd5 0.7486 0.5011 0.0008
Pm1 0.4131 0.8313 0.6664
Pm2 0.0000 0.0000 0.5000
Pm3 0.5869 0.1687 0.3336



Record 11
Material: Tb2Pm4Nd3
Method: DFT, PBE
State: optimized geometry

* formation energy from the elements: 15 meV/atom
* calculated volume: 307.3 Å³/f.u.
* SG: C2/m (12)
* relative energy among the computed polymorphs: 0.00 eV/f.u.
* size of the total moment: 0.0 μB per formula unit

abc: 3.6407 8.1569 10.9128
angles: 76.98 90.00 102.89
Atoms (fractional coordinates):
Pm1 0.0003 0.0006 0.6677
Pm2 0.9997 0.9994 0.3323
Pm3 0.6671 0.3343 0.1107
Pm4 0.3329 0.6657 0.8893
Tb1 0.3332 0.6663 0.2218
Tb2 0.6668 0.3337 0.7782
Nd1 0.6673 0.3345 0.4441
Nd2 0.3327 0.6655 0.5559
Nd3 0.0000 0.0000 0.0000



Record 12
Material: TbPm6Nd8
Method: DFT, PBE
State: optimized geometry

* formation energy from the elements: 112 meV/atom
* calculated volume: 526.1 Å³/f.u.
* SG: R-3 (148)
* size of the total moment: 0.0 μB per formula unit

abc: 9.2953 9.2953 8.8452
angles: 58.30 58.30 60.00
Atoms (fractional coordinates):
Nd1 0.8873 0.2503 0.5796
Nd2 0.2829 0.8873 0.5796
Nd3 0.7497 0.7171 0.4204
Nd4 0.7171 0.1127 0.4204
Nd5 0.4223 0.4223 0.7330
Nd6 0.1127 0.7497 0.4204
Nd7 0.2503 0.2829 0.5796
Nd8 0.5777 0.5777 0.2670
Pm1 0.0985 0.2407 0.1214
Pm2 0.2407 0.5394 0.1214
Pm3 0.9015 0.7593 0.8786
Pm4 0.5394 0.0985 0.1214
Pm5 0.4606 0.9015 0.8786
Pm6 0.7593 0.4606 0.8786
Tb1 0.0000 0.0000 0.0000



Record 13
Material: Tb2Pm3Nd5
Method: DFT, PBE
State: optimized geometry

* formation energy from the elements: 175 meV/atom
* calculated volume: 348.1 Å³/f.u.
* SG: C2/c (15)
* relative energy among the computed polymorphs: 0.00 eV/f.u.
* size of the total moment: 0.0 μB per formula unit

abc: 10.1318 10.1237 11.3498
angles: 129.32 129.33 65.14
Atoms (fractional coordinates):
Nd1 0.5214 0.2714 0.5428
Nd2 0.1305 0.3774 0.2494
Nd3 0.3811 0.1280 0.7506
Nd4 0.8695 0.6226 0.7506
Nd5 0.4786 0.7286 0.4572
Nd6 0.7284 0.4784 0.9569
Nd7 0.9796 0.2296 0.4591
Nd8 0.0204 0.7704 0.5409
Nd9 0.6189 0.8720 0.2494
Nd10 0.2716 0.5216 0.0431
Tb1 0.4701 0.7252 0.7513
Tb2 0.5299 0.2748 0.2487
Tb3 0.7812 0.0261 0.7513
Tb4 0.2188 0.9739 0.2487
Pm1 0.2761 0.5308 0.7506
Pm2 0.0255 0.7802 0.2494
Pm3 0.7239 0.4692 0.2494
Pm4 0.7704 0.0204 0.0408
Pm5 0.9745 0.2198 0.7506
Pm6 0.2296 0.9796 0.9592



Record 14
Material: TbPm10Nd4
Method: DFT, PBE
State: optimized geometry

* formation energy from the elements: 232 meV/atom
* calculated volume: 531.7 Å³/f.u.
* SG: I4/mmm (139)
* size of the total moment: 0.0 μB per formula unit

abc: 8.0143 9.0775 9.0775
angles: 78.76 63.80 63.80
Atoms (fractional coordinates):
Pm1 0.2907 0.2110 0.7889
Pm2 0.2500 0.5000 0.5000
Pm3 0.7500 0.5000 0.5000
Pm4 0.0796 0.2111 0.2110
Pm5 0.5017 0.7889 0.7890
Pm6 0.7094 0.2110 0.7889
Pm7 0.2906 0.7890 0.2111
Pm8 0.7093 0.7890 0.2111
Pm9 0.9204 0.7889 0.7890
Pm10 0.4983 0.2111 0.2110
Nd1 0.7719 0.0004 0.4558
Nd2 0.2281 0.9996 0.5442
Nd3 0.2277 0.5442 0.0004
Nd4 0.7723 0.4558 0.9996
Tb1 0.0000 0.0000 0.0000



Record 15
Material: Tb4PmNd6
Method: DFT, PBE
State: optimized geometry

* formation energy from the elements: 147 meV/atom
* calculated volume: 386.6 Å³/f.u.
* SG: P-6m2 (187)
* relative energy among the computed polymorphs: 0.00 eV/f.u.
* size of the total moment: 0.0 μB per formula unit

abc: 3.6033 11.1309 11.1309
angles: 120.00 90.00 90.00
Atoms (fractional coordinates):
Nd1 0.0000 0.5250 0.0500
Nd2 0.0000 0.5250 0.4750
Nd3 0.5000 0.1825 0.3650
Nd4 0.5000 0.6350 0.8175
Nd5 0.5000 0.1825 0.8175
Nd6 0.0000 0.9500 0.4750
Tb1 0.5000 0.3209 0.1604
Tb2 0.5000 0.8396 0.1604
Tb3 0.5000 0.8396 0.6791
Tb4 0.0000 0.3333 0.6667
Pm1 0.0000 0.0000 0.0000



Record 16
Material: Tb2Pm7Nd3
Method: DFT, PBE
State: optimized geometry

* formation energy from the elements: 277 meV/atom
* calculated volume: 438.6 Å³/f.u.
* SG: P-1 (2)
* relative energy among the computed polymorphs: 2.31 eV/f.u.
* size of the total moment: 0.0 μB per formula unit

abc: 5.6810 6.2476 12.3708
angles: 92.52 89.97 89.81
Atoms (fractional coordinates):
Pm1 0.4970 0.2405 0.4483
Pm2 0.5030 0.7595 0.5517
Pm3 0.9998 0.4426 0.1842
Pm4 0.0000 0.0000 0.0000
Pm5 0.5003 0.9112 0.8328
Pm6 0.0002 0.5574 0.8158
Pm7 0.4997 0.0888 0.1672
Tb1 0.5004 0.3760 0.7188
Tb2 0.4996 0.6240 0.2812
Nd1 0.9991 0.9384 0.3372
Nd2 0.0009 0.0616 0.6628
Nd3 0.5000 0.5000 0.0000



Record 17
Material: Tb2Pm5Nd2
Method: DFT, PBE
State: optimized geometry

* formation energy from the elements: 208 meV/atom
* calculated volume: 337.6 Å³/f.u.
* SG: P-1 (2)
* relative energy among the computed polymorphs: 0.08 eV/f.u.
* size of the total moment: 0.0 μB per formula unit

abc: 3.5904 11.6663 9.7146
angles: 63.28 68.30 81.27
Atoms (fractional coordinates):
Pm1 0.7927 0.1821 0.6188
Pm2 0.9063 0.5722 0.8090
Pm3 0.0000 0.0000 0.0000
Pm4 0.0937 0.4278 0.1910
Pm5 0.2073 0.8179 0.3812
Nd1 0.3656 0.8748 0.6985
Nd2 0.6344 0.1252 0.3015
Tb1 0.5745 0.7229 0.0644
Tb2 0.4255 0.2771 0.9356



Record 18
Material: Tb6PmNd12
Method: DFT, PBE
State: optimized geometry

* formation energy from the elements: 131 meV/atom
* calculated volume: 661.4 Å³/f.u.
* SG: R-3 (148)
* relative energy among the computed polymorphs: 0.00 eV/f.u.
* size of the total moment: 0.0 μB per formula unit

abc: 8.7141 8.7141 8.7141
angles: 88.97 88.97 88.97
Atoms (fractional coordinates):
Nd1 0.1961 0.3618 0.0173
Nd2 0.0173 0.1961 0.3618
Nd3 0.5668 0.2197 0.4634
Nd4 0.9827 0.8039 0.6382
Nd5 0.2197 0.4634 0.5668
Nd6 0.7803 0.5366 0.4332
Nd7 0.3618 0.0173 0.1961
Nd8 0.4634 0.5668 0.2197
Nd9 0.5366 0.4332 0.7803
Nd10 0.4332 0.7803 0.5366
Nd11 0.8039 0.6382 0.9827
Nd12 0.6382 0.9827 0.8039
Pm1 0.0000 0.0000 0.0000
Tb1 0.7406 0.9019 0.2997
Tb2 0.7003 0.2594 0.0981
Tb3 0.2997 0.7406 0.9019
Tb4 0.9019 0.2997 0.7406
Tb5 0.0981 0.7003 0.2594
Tb6 0.2594 0.0981 0.7003



Record 19
Material: Tb5Pm5Nd2
Method: DFT, PBE
State: optimized geometry

* formation energy from the elements: 14 meV/atom
* calculated volume: 401.9 Å³/f.u.
* SG: C2/m (12)
* size of the total moment: 0.0 μB per formula unit

abc: 5.1094 8.0926 10.8625
angles: 72.70 76.40 71.60
Atoms (fractional coordinates):
Pm1 0.7511 0.2495 0.2484
Pm2 0.8339 0.8328 0.4994
Pm3 0.1661 0.1672 0.5006
Pm4 0.0000 0.0000 0.0000
Pm5 0.2489 0.7505 0.7516
Tb1 0.5832 0.0831 0.7505
Tb2 0.4168 0.9169 0.2495
Tb3 0.3331 0.3332 0.0006
Tb4 0.6669 0.6668 0.9994
Tb5 0.5000 0.5000 0.5000
Nd1 0.0830 0.5847 0.2493
Nd2 0.9170 0.4153 0.7507